[1]
Computed, not measured: an optimized crystal structure of Nd7Sm4In at the GGA-PBE level of DFT.

Its total magnetization is 0.000 μB/atom. The formation energy is 0.03 eV/atom.

It has space group P-1 (No. 2), with a = 5.7376 Å, b = 6.5217 Å, c = 11.7534 Å, α = 78.95°, β = 75.93° and γ = 89.98°. The asymmetric unit holds Nd at (0.0000, 0.0000, 0.0000), Nd at (0.1385, 0.5113, 0.7245), Nd at (0.2093, 0.0682, 0.5818), Nd at (0.4538, 0.6890, 0.0925), Sm at (0.2927, 0.6044, 0.4134), Sm at (0.3855, 0.1546, 0.2280) and In at (0.0000, 0.5000, 0.0000).

[2]
Computed, not measured: an optimized crystal structure of NdSmIn at the GGA-PBE level of DFT.

Its total magnetization is 0.000 μB/atom. The formation energy is -0.29 eV/atom.

It has space group I4mm (No. 107), with a = 3.6397 Å, b = 3.6397 Å, c = 14.1054 Å, α = 90.00°, β = 90.00° and γ = 90.00°. The asymmetric unit holds Nd at (0.0000, 0.0000, 0.0000), Sm at (0.0000, 0.0000, 0.6934) and In at (0.0000, 0.0000, 0.3439).

[3]
Computed, not measured: an optimized crystal structure of Nd3Sm2In at the GGA-PBE level of DFT.

Its total magnetization is 0.000 μB/atom. The formation energy is -0.13 eV/atom.

It has space group P2_1/m (No. 11), with a = 8.8998 Å, b = 3.7798 Å, c = 11.6660 Å, α = 90.00°, β = 90.19° and γ = 90.00°. The asymmetric unit holds Nd at (0.0942, 0.2500, 0.1032), Nd at (0.3506, 0.7500, 0.5736), Nd at (0.3921, 0.7500, 0.2502), Sm at (0.0896, 0.2500, 0.3947), Sm at (0.3550, 0.7500, 0.9263) and In at (0.1560, 0.2500, 0.7527).

[4]
Computed, not measured: an optimized crystal structure of Nd6SmIn2 at the GGA-PBE level of DFT.

Its total magnetization is 0.000 μB/atom. The formation energy is -0.07 eV/atom.

It has space group C2/m (No. 12), with a = 17.6181 Å, b = 9.5341 Å, c = 3.4781 Å, α = 90.00°, β = 101.32° and γ = 90.00°. The asymmetric unit holds Nd at (0.0000, 0.1627, 0.0000), Nd at (0.1708, 0.3123, 0.1700), Sm at (0.0000, 0.5000, 0.5000) and In at (0.1532, 0.0000, 0.6518).

[5]
Computed, not measured: an optimized crystal structure of NdSm5In at the GGA-PBE level of DFT.

Its total magnetization is 0.000 μB/atom. The formation energy is 0.07 eV/atom.

It has space group Imm2 (No. 44), with a = 6.3925 Å, b = 6.6454 Å, c = 10.9214 Å, α = 90.00°, β = 90.00° and γ = 90.00°. The asymmetric unit holds Nd at (0.0000, 0.0000, 0.0000), Sm at (0.0000, 0.2266, 0.6386), Sm at (0.0000, 0.5000, 0.3869), Sm at (0.2392, 0.0000, 0.3537) and In at (0.0000, 0.5000, 0.1056).

[6]
Computed, not measured: an optimized crystal structure of Nd2Sm6In3 at the GGA-PBE level of DFT.

Its total magnetization is 0.000 μB/atom. The formation energy is -0.03 eV/atom.

It has space group I4/mmm (No. 139), with a = 4.6106 Å, b = 4.6106 Å, c = 34.2591 Å, α = 90.00°, β = 90.00° and γ = 90.00°. The asymmetric unit holds Nd at (0.0000, 0.0000, 0.0435), Sm at (0.0000, 0.0000, 0.2135), Sm at (0.0000, 0.5000, 0.1275), In at (0.0000, 0.0000, 0.3064) and In at (0.0000, 0.0000, 0.5000).

Computed values of energy (unit: eV/atom) for the preceding records, in sequence: -4.553 -4.365 -4.543 -4.385 -4.372 -4.219.